Entry 1:
Computed, not measured: K2BeMo after structural relaxation at the PBE level of DFT.

Summary:
Energy of formation, eV per atom: 0.877
Crystal system: monoclinic
Magnetic moment, μB/f.u.: 1.25

abc: 3.3541 3.3436 10.8298
angles: 72.21 90.00 90.00
Fractional positions:
1 K 0.0000 0.0705 0.9150
2 K 0.5000 0.1724 0.3314
3 Mo 0.0000 0.3988 0.6066
4 Be 0.5000 0.8583 0.6470

Entry 2:
Computed, not measured: NdVSe2 after structural relaxation at the PBE level of DFT.

Summary:
Energy relative to the elements, uncorrected, eV per atom: -0.628
Crystal system: trigonal
Magnetic moment, μB/f.u.: 2.31

abc: 3.7891 3.7891 8.8526
angles: 77.64 77.64 60.00
Fractional positions:
1 Nd 0.0000 0.0000 0.0000
2 Se 0.8876 0.8876 0.3373
3 Se 0.1124 0.1124 0.6627
4 V 0.5000 0.5000 0.5000

Entry 3:
Computed, not measured: RbTa2Te after structural relaxation at the PBE level of DFT.

Summary:
Energy relative to the elements, uncorrected, eV per atom: 1.072
Crystal system: tetragonal
Magnetic moment, μB/f.u.: 0.00

abc: 4.9152 4.9152 10.8756
angles: 76.94 76.94 90.00
Fractional positions:
1 Ta 0.8750 0.0491 0.7500
2 Ta 0.9509 0.6250 0.2500
3 Ta 0.3750 0.2009 0.7500
4 Ta 0.7991 0.1250 0.2500
5 Te 0.7500 0.2500 0.5000
6 Te 0.0000 0.0000 0.0000
7 Rb 0.5000 0.5000 0.0000
8 Rb 0.2500 0.7500 0.5000